No. 1
{"formula": "Pm8Zn2Tc", "functional": "PBE", "state": "optimized geometry", "cell": [[5.2627, 0.0000, 0.0000], [0.0000, 6.9948, 0.2150], [-2.6314, -2.7409, 8.4461]], "species": ["Pm", "Tc", "Zn", "Pm", "Pm", "Pm", "Pm", "Pm", "Pm", "Pm", "Zn"], "fractional_positions": [[0.9744, 0.2121, 0.9489], [0.5000, 0.0000, 0.0000], [0.1862, 0.7155, 0.3723], [0.3404, 0.0366, 0.6807], [0.4085, 0.5620, 0.8171], [0.0256, 0.7879, 0.0511], [0.5915, 0.4380, 0.1829], [0.8023, 0.6963, 0.6047], [0.1977, 0.3037, 0.3953], [0.6596, 0.9634, 0.3193], [0.8138, 0.2845, 0.6277]], "magnetic_moment_mub_per_atom": 0.000, "n_ef_per_ev_atom": 1.055, "delta_e_f_kj_per_mol_fu": -74.4}

No. 2
{"formula": "ZnGa2Pt2", "functional": "PBE", "state": "optimized geometry", "cell": [[-0.9864, -4.1720, 0.1278], [1.6579, -2.5024, 3.0633], [-4.1036, 1.0649, 3.0907]], "species": ["Pt", "Ga", "Pt", "Ga", "Zn"], "fractional_positions": [[0.8334, 0.3334, 0.1714], [0.8333, 0.3333, 0.6520], [0.1666, 0.6666, 0.8286], [0.1667, 0.6667, 0.3480], [0.5000, 0.0000, 0.0000]], "magnetic_moment_mub_per_atom": 0.000, "n_ef_per_ev_atom": 0.215, "delta_e_f_kj_per_mol_fu": -284.5, "de_polymorph_mev_per_atom": 0}

No. 3
{"formula": "Pu3ThP4", "functional": "PBE", "state": "optimized geometry", "cell": [[-4.2045, -3.3807, -1.9550], [3.6250, -2.3098, -3.8018], [1.4529, -4.0206, 3.8280]], "species": ["P", "P", "Pu", "Pu", "P", "Pu", "P", "Th"], "fractional_positions": [[0.0000, 0.0000, 0.5000], [0.5000, 0.0000, 0.0000], [0.5000, 0.5000, 0.0000], [0.0000, 0.5000, 0.5000], [0.5000, 0.5000, 0.5000], [0.5000, 0.0000, 0.5000], [0.0000, 0.5000, 0.0000], [0.0000, 0.0000, 0.0000]], "magnetic_moment_mub_per_atom": 1.944, "n_ef_per_ev_atom": 3.608, "delta_e_f_kj_per_mol_fu": -965.1}

Which formula does entry 3 have? Pu3ThP4